Entry 1:
A plane-wave DFT calculation with PBE was carried out for an optimized crystal structure of ZrTc2Ru.

Summary:
The value obtained for the total magnetization is 0.0 μB per formula unit. The uncorrected energy is -38.6 eV/f.u. Its density is 9.9 g/cm³. As for the space group: C2/m.

abc: 5.0845 5.0845 4.6812
angles: 77.75 77.75 33.45
Fractional coordinates of all 4 atoms:
Tc: 0.9787 0.9787 0.0323
Ru: 0.2500 0.2500 0.2500
Zr: 0.7500 0.7500 0.7500
Tc: 0.5213 0.5213 0.4677

Entry 2:
A plane-wave DFT calculation with PBE was carried out for an optimized crystal structure of Li6Hf4H19.

Summary:
The value obtained for the total magnetization is 0.0 μB per formula unit. The uncorrected energy is -123.0 eV/f.u. Its density is 6.0 g/cm³. As for the space group: I23.

abc: 6.5205 6.5205 6.5205
angles: 109.47 109.47 109.47
Fractional coordinates of all 29 atoms:
H: 0.7751 0.3558 0.9824
H: 0.2249 0.2073 0.5807
H: 0.6961 0.0000 0.6961
H: 0.3558 0.9824 0.7751
H: 0.0000 0.6961 0.6961
H: 0.6961 0.6961 0.0000
H: 0.9824 0.7751 0.3558
Li: 0.1698 0.6698 0.5000
Li: 0.5000 0.8302 0.3302
H: 0.4193 0.6266 0.6442
H: 0.0176 0.3734 0.7927
Hf: 0.6804 0.0000 0.0000
H: 0.3734 0.7927 0.0176
Hf: 0.0000 0.0000 0.6804
H: 0.0000 0.3039 0.3039
H: 0.2073 0.5807 0.2249
H: 0.3039 0.3039 0.0000
Hf: 0.0000 0.6804 0.0000
Li: 0.3302 0.5000 0.8302
H: 0.5807 0.2249 0.2073
H: 0.6442 0.4193 0.6266
Hf: 0.3196 0.3196 0.3196
Li: 0.5000 0.1698 0.6698
H: 0.6266 0.6442 0.4193
Li: 0.6698 0.5000 0.1698
H: 0.3039 0.0000 0.3039
H: 0.7927 0.0176 0.3734
Li: 0.8302 0.3302 0.5000
H: 0.0000 0.0000 0.0000